1.
# CrSi2Ni9, optimized geometry, DFT PBE
# formation energy from raw total energies: -0.30 eV/atom
data_CrSi2Ni9
_symmetry_space_group_name_H-M 'P 4/m m m'
_symmetry_Int_Tables_number 123
_symmetry_space_group_name_Hall '-P 4 2'
_cell_length_a 3.523
_cell_length_b 3.523
_cell_length_c 10.529
_cell_angle_alpha 90.00
_cell_angle_beta 90.00
_cell_angle_gamma 90.00
loop_
_atom_site_label
_atom_site_type_symbol
_atom_site_fract_x
_atom_site_fract_y
_atom_site_fract_z
Cr1 Cr 0.000 0.000 0.000
Si1 Si 0.000 0.000 0.335
Ni1 Ni 0.000 0.500 0.169
Ni2 Ni 0.000 0.500 0.500
Ni3 Ni 0.500 0.500 0.000
Ni4 Ni 0.500 0.500 0.335

=====

2.
# Pm2NdSmP4, optimized geometry, DFT PBE
# ΔH_f (0 K): -1.5591 eV per atom
data_Pm2NdSmP4
_symmetry_space_group_name_H-M 'P 1 2/m 1'
_symmetry_Int_Tables_number 10
_symmetry_space_group_name_Hall '-P 2y'
_cell_length_a 7.160
_cell_length_b 4.137
_cell_length_c 7.160
_cell_angle_alpha 90.00
_cell_angle_beta 109.45
_cell_angle_gamma 90.00
loop_
_atom_site_label
_atom_site_type_symbol
_atom_site_fract_x
_atom_site_fract_y
_atom_site_fract_z
Pm1 Pm 0.000 0.000 0.000
Pm2 Pm 0.500 0.500 0.000
Nd1 Nd 0.000 0.500 0.500
Sm1 Sm 0.500 0.000 0.500
P1 P 0.252 0.000 0.751
P2 P 0.252 0.500 0.250

=====

3.
# CdReW3, optimized geometry, DFT PBE
# ΔH_f (0 K): 1.9176 eV per atom
data_CdReW3
_symmetry_space_group_name_H-M 'P m -3 m'
_symmetry_Int_Tables_number 221
_symmetry_space_group_name_Hall '-P 4 2 3'
_cell_length_a 4.790
_cell_length_b 4.790
_cell_length_c 4.790
_cell_angle_alpha 90.00
_cell_angle_beta 90.00
_cell_angle_gamma 90.00
loop_
_atom_site_label
_atom_site_type_symbol
_atom_site_fract_x
_atom_site_fract_y
_atom_site_fract_z
Cd1 Cd 0.000 0.000 0.000
Re1 Re 0.500 0.500 0.500
W1 W 0.000 0.500 0.500

=====

Uncorrected energy, record by record: -76.1, -53.1, -42.6 eV per cell
D(E_F), record by record: 10.2, 0.7, 4.7 states/eV/f.u.